1.
Here is an optimized crystal structure of MnTc2Ni from Alexandria via LeMat-Bulk. Energies are from PBE. Values from VASP.

The excess energy over the best structure of this formula in the dataset comes out at 6.9 kJ/mol of atoms. The calculation puts the total DFT energy (no corrections) at -35.4 eV per formula unit. The volume comes out at 13.1 A^3/atom. As for the formation energy: 65 meV/atom. The calculation puts the mass density at 9.83 g/cm3.

Quantum ESPRESSO input file:
```
&SYSTEM
  ibrav = 0, nat = 8, ntyp = 3
/
ATOMIC_SPECIES
Mn 54.94 Mn.upf
Tc 98.00 Tc.upf
Ni 58.69 Ni.upf
ATOMIC_POSITIONS angstrom
Mn 0.000 0.000 0.000
Mn 4.369 1.319 0.000
Tc -0.324 1.319 2.362
Tc 1.969 1.319 1.160
Tc 4.045 0.000 2.362
Tc 6.338 0.000 1.160
Ni 1.642 0.000 3.470
Ni 6.012 1.319 3.470
CELL_PARAMETERS angstrom
8.739 0.000 0.000
0.000 2.638 0.000
-0.734 0.000 4.538
```

---

2.
Here is an optimized crystal structure of PmPtS2O8 from Alexandria via LeMat-Bulk. Energies are from PBE. Values from VASP.

The calculation puts the total DFT energy (no corrections) at -75.6 eV per formula unit. The calculation puts the energy relative to the elements, uncorrected at -1407 meV per atom. The volume comes out at 14.8 A^3/atom. The calculation puts the mass density at 4.99 g/cm3.

Quantum ESPRESSO input file:
```
&SYSTEM
  ibrav = 0, nat = 12, ntyp = 4
/
ATOMIC_SPECIES
Pm 145.00 Pm.upf
Pt 195.08 Pt.upf
S 32.06 S.upf
O 16.00 O.upf
ATOMIC_POSITIONS angstrom
Pm 0.000 0.000 0.000
Pt 0.000 0.000 3.810
S 0.000 2.992 1.450
S 2.591 1.496 6.169
O 0.000 1.573 1.905
O -1.229 3.701 1.905
O 0.000 2.992 7.566
O 1.362 0.787 5.714
O 1.229 3.701 1.905
O 2.591 1.496 0.053
O 3.819 0.787 5.714
O 2.591 2.914 5.714
CELL_PARAMETERS angstrom
5.182 0.000 0.000
-2.591 4.488 0.000
0.000 0.000 7.620
```

---

3.
Here is an optimized crystal structure of ZrCl2F from Alexandria via LeMat-Bulk. Energies are from PBE. Values from VASP.

The excess energy over the best structure of this formula in the dataset comes out at 86.4 kJ/mol of atoms. The calculation puts the total DFT energy (no corrections) at -19.1 eV per formula unit. The calculation puts the energy relative to the elements, uncorrected at -1253 meV per atom. The volume comes out at 20.6 A^3/atom. The calculation puts the mass density at 3.66 g/cm3.

Quantum ESPRESSO input file:
```
&SYSTEM
  ibrav = 0, nat = 12, ntyp = 3
/
ATOMIC_SPECIES
Zr 91.22 Zr.upf
Cl 35.45 Cl.upf
F 19.00 F.upf
ATOMIC_POSITIONS angstrom
Zr 0.000 0.000 0.000
Zr 0.000 2.014 15.614
Zr 1.744 1.007 7.807
Cl 0.000 0.000 9.442
Cl 0.000 0.000 13.980
Cl 0.000 2.014 1.635
Cl 0.000 2.014 6.173
Cl 1.744 1.007 17.249
Cl 1.744 1.007 21.787
F 0.000 0.000 11.711
F 0.000 2.014 3.904
F 1.744 1.007 19.518
CELL_PARAMETERS angstrom
3.489 0.000 0.000
-1.744 3.021 0.000
0.000 0.000 23.422
```

---

4.
Here is an optimized crystal structure of CaTbCuHg from Alexandria via LeMat-Bulk. Energies are from PBE. Values from VASP.

The calculation puts the total DFT energy (no corrections) at -12.2 eV per formula unit. The volume comes out at 24.2 A^3/atom. As for the formation energy: -296 meV/atom. The calculation puts the mass density at 7.95 g/cm3.

Quantum ESPRESSO input file:
```
&SYSTEM
  ibrav = 0, nat = 16, ntyp = 4
/
ATOMIC_SPECIES
Ca 40.08 Ca.upf
Tb 158.93 Tb.upf
Cu 63.55 Cu.upf
Hg 200.59 Hg.upf
ATOMIC_POSITIONS angstrom
Ca 0.000 0.000 0.000
Ca 0.000 3.644 3.644
Ca 3.644 0.000 3.644
Ca 3.644 3.644 0.000
Tb 0.000 0.000 3.644
Tb 0.000 3.644 0.000
Tb 3.644 0.000 0.000
Tb 3.644 3.644 3.644
Cu 1.822 1.822 1.822
Cu 1.822 5.466 5.466
Cu 5.466 1.822 5.466
Cu 5.466 5.466 1.822
Hg 1.822 1.822 5.466
Hg 1.822 5.466 1.822
Hg 5.466 1.822 1.822
Hg 5.466 5.466 5.466
CELL_PARAMETERS angstrom
7.288 0.000 0.000
0.000 7.288 0.000
0.000 0.000 7.288
```

---

5.
Here is an optimized crystal structure of BiPd2O from Alexandria via LeMat-Bulk. Energies are from PBE. Values from VASP.

The excess energy over the best structure of this formula in the dataset comes out at 9.4 kJ/mol of atoms. The calculation puts the total DFT energy (no corrections) at -19.4 eV per formula unit. The calculation puts the energy relative to the elements, uncorrected at -32 meV per atom. The volume comes out at 16.2 A^3/atom. The calculation puts the mass density at 11.25 g/cm3.

Quantum ESPRESSO input file:
```
&SYSTEM
  ibrav = 0, nat = 16, ntyp = 3
/
ATOMIC_SPECIES
Bi 208.98 Bi.upf
Pd 106.42 Pd.upf
O 16.00 O.upf
ATOMIC_POSITIONS angstrom
Bi 0.000 0.000 0.000
Bi 0.000 3.185 3.185
Bi 3.185 0.000 3.185
Bi 3.185 3.185 0.000
Pd 1.593 1.593 1.593
Pd 1.593 1.593 4.778
Pd 1.593 4.778 1.593
Pd 1.593 4.778 4.778
Pd 4.778 1.593 1.593
Pd 4.778 1.593 4.778
Pd 4.778 4.778 1.593
Pd 4.778 4.778 4.778
O 0.000 0.000 3.185
O 0.000 3.185 0.000
O 3.185 0.000 0.000
O 3.185 3.185 3.185
CELL_PARAMETERS angstrom
6.370 0.000 0.000
0.000 6.370 0.000
0.000 0.000 6.370
```

---

6.
Here is an optimized crystal structure of Dy2HoTa from Alexandria via LeMat-Bulk. Energies are from PBE. Values from VASP.

The calculation puts the total DFT energy (no corrections) at -23.3 eV per formula unit. The volume comes out at 26.9 A^3/atom. As for the formation energy: 593 meV/atom. The calculation puts the mass density at 10.36 g/cm3.

Quantum ESPRESSO input file:
```
&SYSTEM
  ibrav = 0, nat = 12, ntyp = 3
/
ATOMIC_SPECIES
Dy 162.50 Dy.upf
Ho 164.93 Ho.upf
Ta 180.95 Ta.upf
ATOMIC_POSITIONS angstrom
Dy 0.000 0.000 2.929
Dy 0.000 0.000 31.971
Dy 0.000 1.886 20.338
Dy 0.000 1.886 26.196
Dy 1.633 0.943 8.704
Dy 1.633 0.943 14.562
Ho 0.000 0.000 17.450
Ho 0.000 1.886 5.817
Ho 1.633 0.943 29.083
Ta 0.000 0.000 0.000
Ta 0.000 1.886 23.267
Ta 1.633 0.943 11.633
CELL_PARAMETERS angstrom
3.267 0.000 0.000
-1.633 2.829 0.000
0.000 0.000 34.900
```

---

7.
Here is an optimized crystal structure of CrFe2Au from Alexandria via LeMat-Bulk. Energies are from PBE. Values from VASP.

The calculation puts the total DFT energy (no corrections) at -28.8 eV per formula unit. The volume comes out at 14.1 A^3/atom. As for the formation energy: 246 meV/atom. The calculation puts the mass density at 10.66 g/cm3.

Quantum ESPRESSO input file:
```
&SYSTEM
  ibrav = 0, nat = 16, ntyp = 3
/
ATOMIC_SPECIES
Cr 52.00 Cr.upf
Fe 55.84 Fe.upf
Au 196.97 Au.upf
ATOMIC_POSITIONS angstrom
Cr 0.000 0.000 0.000
Cr 0.000 3.040 3.040
Cr 3.040 0.000 3.040
Cr 3.040 3.040 0.000
Fe 0.000 0.000 3.040
Fe 0.000 3.040 0.000
Fe 1.520 1.520 1.520
Fe 1.520 4.560 4.560
Fe 3.040 0.000 0.000
Fe 3.040 3.040 3.040
Fe 4.560 1.520 4.560
Fe 4.560 4.560 1.520
Au 1.520 1.520 4.560
Au 1.520 4.560 1.520
Au 4.560 1.520 1.520
Au 4.560 4.560 4.560
CELL_PARAMETERS angstrom
6.081 0.000 0.000
0.000 6.081 0.000
0.000 0.000 6.081
```

---

8.
Here is an optimized crystal structure of Y2AgOs from Alexandria via LeMat-Bulk. Energies are from PBE. Values from VASP.

The calculation puts the total DFT energy (no corrections) at -28.2 eV per formula unit. The volume comes out at 22.2 A^3/atom. As for the formation energy: -294 meV/atom. The calculation puts the mass density at 8.89 g/cm3.

Quantum ESPRESSO input file:
```
&SYSTEM
  ibrav = 0, nat = 4, ntyp = 3
/
ATOMIC_SPECIES
Y 88.91 Y.upf
Ag 107.87 Ag.upf
Os 190.23 Os.upf
ATOMIC_POSITIONS angstrom
Y 0.000 0.000 1.676
Y 0.000 0.000 5.897
Ag 1.713 1.713 3.787
Os 1.713 1.713 0.000
CELL_PARAMETERS angstrom
3.426 0.000 0.000
0.000 3.426 0.000
0.000 0.000 7.573
```

---

9.
Here is an optimized crystal structure of Ba2LiCdSi from Alexandria via LeMat-Bulk. Energies are from PBE. Values from VASP.

The calculation puts the total DFT energy (no corrections) at -12.1 eV per formula unit. The calculation puts the energy relative to the elements, uncorrected at -8 meV per atom. The volume comes out at 42.0 A^3/atom. The calculation puts the mass density at 3.33 g/cm3.

Quantum ESPRESSO input file:
```
&SYSTEM
  ibrav = 0, nat = 5, ntyp = 4
/
ATOMIC_SPECIES
Ba 137.33 Ba.upf
Li 6.94 Li.upf
Cd 112.41 Cd.upf
Si 28.09 Si.upf
ATOMIC_POSITIONS angstrom
Ba 0.000 3.248 0.000
Ba 3.248 0.000 0.000
Li 0.000 0.000 2.491
Cd 3.248 3.248 2.491
Si 3.248 3.248 0.000
CELL_PARAMETERS angstrom
6.497 0.000 0.000
0.000 6.497 0.000
0.000 0.000 4.982
```

---

10.
Here is an optimized crystal structure of YHf2 from Alexandria via LeMat-Bulk. Energies are from PBE. Values from VASP.

The excess energy over the best structure of this formula in the dataset comes out at 17.7 kJ/mol of atoms. The calculation puts the total DFT energy (no corrections) at -25.5 eV per formula unit. The volume comes out at 26.4 A^3/atom. As for the formation energy: 305 meV/atom. The calculation puts the mass density at 9.36 g/cm3.

Quantum ESPRESSO input file:
```
&SYSTEM
  ibrav = 0, nat = 6, ntyp = 2
/
ATOMIC_SPECIES
Y 88.91 Y.upf
Hf 178.49 Hf.upf
ATOMIC_POSITIONS angstrom
Y 1.073 1.073 1.073
Y 7.513 7.513 7.513
Hf 4.293 2.147 2.147
Hf 2.147 4.293 2.147
Hf 2.147 2.147 4.293
Hf 4.293 4.293 4.293
CELL_PARAMETERS angstrom
0.000 4.293 4.293
4.293 0.000 4.293
4.293 4.293 0.000
```

---

11.
Here is an optimized crystal structure of Sm2RuC4 from Alexandria via LeMat-Bulk. Energies are from PBE. Values from VASP.

The calculation puts the total DFT energy (no corrections) at -57.1 eV per formula unit. The volume comes out at 14.6 A^3/atom. As for the formation energy: -210 meV/atom. The calculation puts the mass density at 7.29 g/cm3.

Quantum ESPRESSO input file:
```
&SYSTEM
  ibrav = 0, nat = 14, ntyp = 3
/
ATOMIC_SPECIES
Sm 150.36 Sm.upf
Ru 101.07 Ru.upf
C 12.01 C.upf
ATOMIC_POSITIONS angstrom
Sm 1.162 1.463 0.000
Sm 5.076 3.405 0.000
Sm -1.162 1.463 2.690
Sm 2.752 3.405 2.690
Ru 3.914 0.000 1.345
Ru 0.000 4.867 1.345
C 5.276 0.730 0.000
C 6.547 1.222 0.000
C 2.633 3.646 0.000
C 1.362 4.137 0.000
C 2.552 0.730 2.690
C 1.281 1.222 2.690
C -2.633 3.646 2.690
C -1.362 4.137 2.690
CELL_PARAMETERS angstrom
-3.914 4.867 2.690
3.914 -4.867 2.690
3.914 4.867 -2.690
```

---

12.
Here is an optimized crystal structure of MnSbRu2 from Alexandria via LeMat-Bulk. Energies are from PBE. Values from VASP.

The calculation puts the total DFT energy (no corrections) at -28.8 eV per formula unit. The calculation puts the energy relative to the elements, uncorrected at 767 meV per atom. The volume comes out at 21.1 A^3/atom. The calculation puts the mass density at 7.46 g/cm3.

Quantum ESPRESSO input file:
```
&SYSTEM
  ibrav = 0, nat = 16, ntyp = 3
/
ATOMIC_SPECIES
Mn 54.94 Mn.upf
Sb 121.76 Sb.upf
Ru 101.07 Ru.upf
ATOMIC_POSITIONS angstrom
Mn 0.000 0.000 0.000
Mn 0.000 2.708 2.874
Mn 2.708 0.000 8.622
Mn 2.708 2.708 5.748
Sb 0.000 0.000 5.748
Sb 0.000 2.708 8.622
Sb 2.708 0.000 2.874
Sb 2.708 2.708 0.000
Ru 1.038 1.354 1.437
Ru 1.354 3.745 4.311
Ru 1.354 4.378 10.058
Ru 1.670 1.354 7.185
Ru 3.745 4.061 7.185
Ru 4.061 1.038 10.058
Ru 4.061 1.670 4.311
Ru 4.378 4.061 1.437
CELL_PARAMETERS angstrom
5.415 0.000 0.000
0.000 5.415 0.000
0.000 0.000 11.495
```

---

| no. | spin magnetization (μB/atom) |
| --- | --- |
| 1 | 0.506 |
| 2 | 0.083 |
| 3 | 0.000 |
| 4 | 0.000 |
| 5 | 0.000 |
| 6 | 0.001 |
| 7 | 0.490 |
| 8 | 0.000 |
| 9 | 0.000 |
| 10 | 0.817 |
| 11 | 0.000 |
| 12 | 0.000 |